1.
The following is a DFT calculation (GGA-PBE) of crystalline FeCo2Au at its relaxed geometry.

Summary:
Size of the total moment in μB/cell: 6.2
V in Å³ per atom: 12.971
Energy above the lowest structure with this stoichiometry in kJ/mol of formula units: 1.2
Symmetry: No. 123

Unit cell a=3.752 b=3.752 c=3.685 alpha=90.00 beta=90.00 gamma=90.00
Positions (direct):
Fe  0.000  0.000  0.000
Co  0.000  0.500  0.500
Co  0.500  0.000  0.500
Au  0.500  0.500  0.000

2.
The following is a DFT calculation (GGA-PBE) of crystalline FeCoAu2 at its relaxed geometry.

Summary:
Size of the total moment in μB/cell: 4.6
V in Å³ per atom: 14.920
Energy above the lowest structure with this stoichiometry in kJ/mol of formula units: 0.0
Symmetry: No. 99

Unit cell a=2.997 b=2.997 c=6.644 alpha=90.00 beta=90.00 gamma=90.00
Positions (direct):
Fe  0.000  0.000  0.000
Co  0.500  0.500  0.826
Au  0.000  0.000  0.566
Au  0.500  0.500  0.260

3.
The following is a DFT calculation (GGA-PBE) of crystalline FeCo2Au at its relaxed geometry.

Summary:
Size of the total moment in μB/cell: 5.9
V in Å³ per atom: 13.254
Energy above the lowest structure with this stoichiometry in kJ/mol of formula units: 49.2
Symmetry: No. 160

Unit cell a=8.768 b=8.768 c=8.768 alpha=17.47 beta=17.47 gamma=17.47
Positions (direct):
Fe  0.000  0.000  0.000
Co  0.256  0.256  0.256
Co  0.516  0.516  0.516
Au  0.758  0.758  0.758

4.
The following is a DFT calculation (GGA-PBE) of crystalline FeCoAu2 at its relaxed geometry.

Summary:
Size of the total moment in μB/cell: 4.8
V in Å³ per atom: 15.193
Energy above the lowest structure with this stoichiometry in kJ/mol of formula units: 60.7
Symmetry: No. 216

Unit cell a=4.413 b=4.413 c=4.413 alpha=60.00 beta=60.00 gamma=60.00
Positions (direct):
Fe  0.000  0.000  0.000
Co  0.250  0.250  0.250
Au  0.500  0.500  0.500
Au  0.750  0.750  0.750

5.
The following is a DFT calculation (GGA-PBE) of crystalline FeCoAu3 at its relaxed geometry.

Summary:
Size of the total moment in μB/cell: 5.3
V in Å³ per atom: 21.919
Energy above the lowest structure with this stoichiometry in kJ/mol of formula units: 29.1
Symmetry: No. 221

Unit cell a=4.786 b=4.786 c=4.786 alpha=90.00 beta=90.00 gamma=90.00
Positions (direct):
Fe  0.000  0.000  0.000
Co  0.500  0.500  0.500
Au  0.000  0.000  0.500
Au  0.000  0.500  0.000
Au  0.500  0.000  0.000

6.
The following is a DFT calculation (GGA-PBE) of crystalline FeCoAu at its relaxed geometry.

Summary:
Size of the total moment in μB/cell: 4.4
V in Å³ per atom: 15.774
Energy above the lowest structure with this stoichiometry in kJ/mol of formula units: 105.2
Symmetry: No. 216

Unit cell a=4.060 b=4.060 c=4.060 alpha=60.00 beta=60.00 gamma=60.00
Positions (direct):
Fe  0.000  0.000  0.000
Co  0.750  0.750  0.750
Au  0.250  0.250  0.250

> Which formula does entry 1 have?

FeCo2Au